Dy2MgHg: optimized geometry, GGA-PBE.

Cell and atoms, written as POSCAR:
```
Dy2MgHg
1.0
-3.505 0.640 -0.370
-1.967 -2.024 -2.205
-3.808 -6.897 6.818
Dy Mg Hg
2 1 1
direct
0.078 0.078 0.766
0.255 0.255 0.235
0.500 0.500 0.499
0.667 0.667 0.000
```

Output
ΔE to the lowest computed polymorph (eV/atom): 0.1780
Volume (Å³/cell): 113.4
Density of states at the Fermi level (states/eV/f.u.): 4.1
Total magnetization (Bohr magnetons per cell): 0.001
Electronic total energy (eV/f.u.): -11.5
Energy of formation (meV per atom): -110